First-principles (PBE) data for an optimized crystal structure of ReSi2Pb, as listed in the Alexandria database.

```
ReSi2Pb
1.0
3.188 0.000 0.000
0.000 3.188 0.000
0.000 0.000 7.546
Pb Re Si
1 1 2
direct
0.000 0.000 0.536 Pb
0.500 0.500 0.833 Re
0.000 0.000 0.972 Si
0.500 0.500 0.159 Si
```

Computed properties:
**Raw formation energy**: 314 meV per atom